No. 1
A geometry-optimized Ni4Cl structure. Source: the Alexandria database, functional PBE.

Cell lengths 3.293, 3.293, 12.735 Å; angles 90.00, 90.00, 90.00 degrees
Space group I4/mmm (No. 139)
Symmetry-distinct sites (fractional):
Ni  0.000  0.000  0.111
Ni  0.000  0.500  0.250
Cl  0.000  0.000  0.500

Calculated values
Energy above the lowest structure with this stoichiometry ... 0.0000 eV/atom
Crystal system ... tetragonal

---

No. 2
A geometry-optimized NpInCu structure. Source: the Alexandria database, functional PBE.

Cell lengths 6.138, 3.526, 11.666 Å; angles 90.00, 100.23, 90.00 degrees
Space group Cm (No. 8)
Symmetry-distinct sites (fractional):
Np  0.000  0.000  0.000
Np  0.205  0.500  0.113
In  0.090  0.500  0.769
In  0.115  0.000  0.344
Cu  0.000  0.500  0.500
Cu  0.206  0.000  0.613

Calculated values
Crystal system ... monoclinic
DFT formation energy ... 54 kJ/mol of formula units

---

No. 3
A geometry-optimized TbPr2TlN structure. Source: the Alexandria database, functional PBE.

Cell lengths 5.095, 5.095, 4.856 Å; angles 90.00, 90.00, 90.00 degrees
Space group P4/mmm (No. 123)
Symmetry-distinct sites (fractional):
Tb  0.000  0.000  0.000
Pr  0.000  0.500  0.500
Tl  0.500  0.500  0.000
N  0.000  0.000  0.500

Calculated values
Crystal system ... tetragonal

---

No. 4
A geometry-optimized MgTi2ZnO6 structure. Source: the Alexandria database, functional PBE.

Cell lengths 5.1129, 5.1129, 14.0770 Å; angles 90.00, 90.00, 120.00 degrees
Space group R3 (No. 146, hexagonal axes)
Symmetry-distinct sites (fractional):
Mg  0.0000  0.0000  0.0000
Ti  0.0000  0.0000  0.2108
Ti  0.0000  0.0000  0.5003
Zn  0.0000  0.0000  0.7154
O  0.0167  0.3744  0.7742
O  0.0346  0.6853  0.2661

Calculated values
Energy above the lowest structure with this stoichiometry ... 0.0000 eV/atom
Crystal system ... trigonal

---

No. 5
A geometry-optimized NpCo4As2 structure. Source: the Alexandria database, functional PBE.

Cell lengths 7.236, 7.236, 3.718 Å; angles 90.00, 90.00, 90.00 degrees
Space group P4_2/mnm (No. 136)
Symmetry-distinct sites (fractional):
Np  0.000  0.000  0.000
Co  0.084  0.352  0.500
As  0.220  0.780  0.500

Calculated values
Crystal system ... tetragonal
DFT formation energy ... -198 kJ/mol of formula units

---

No. 6
A geometry-optimized Be2CdHgSb structure. Source: the Alexandria database, functional PBE.

Cell lengths 4.644, 4.644, 6.103 Å; angles 90.00, 90.00, 90.00 degrees
Space group P4/mmm (No. 123)
Symmetry-distinct sites (fractional):
Be  0.000  0.500  0.000
Cd  0.000  0.000  0.500
Hg  0.500  0.500  0.500
Sb  0.500  0.500  0.000

Calculated values
Energy above the lowest structure with this stoichiometry ... 0.0000 eV/atom
Crystal system ... tetragonal

---

Calculated electronic total energy (eV per atom), listed in the same order as above: -4.55; -6.41; -5.80; -7.50; -7.53; -1.68